TaTi3H | GGA-PBEsol | relaxed

Its offset from the most stable computed form is 0.000 eV/atom. The value obtained for the density of states at the Fermi level is 1.385 states/eV per atom.

Cell: 4.0937 4.0937 4.0937 Å, 90.00 90.00 90.00°
Fractional positions:
Ta 0.0000 0.0000 0.0000
Ti 0.0000 0.5000 0.5000
Ti 0.5000 0.0000 0.5000
Ti 0.5000 0.5000 0.0000
H 0.5000 0.5000 0.5000